Material: Ba3SmTl4
Method: DFT, PBE-GGA
State: relaxed

Results
Density: 7830 kg/m3
E_tot: -2.87 eV/atom
Total moment: 0.00 μB/cell

a b c (Å): 4.1417 4.1417 17.0593
angles (deg): 90.00 90.00 90.00
Last column: nearest neighbours and their distance in Å.
Space group P4/mmm (No. 123)
Inequivalent atoms, fractional coordinates:
Ba  0.0000  0.0000  0.0000  8 Tl 3.65
Ba  0.0000  0.0000  0.2615  8 Tl 3.71-3.76, 1 Sm 4.07, 4 Ba 4.14
Sm  0.0000  0.0000  0.5000  8 Tl 3.39
Tl  0.5000  0.5000  0.1276  8 Ba 3.65-3.71
Tl  0.5000  0.5000  0.3995  4 Sm 3.39, 1 Tl 3.43, 4 Ba 3.76